This record from Alexandria via LeMat-Bulk describes a geometry-optimized Tm4Ru3 structure. The functional is PBE.

Cell lengths 4.8160, 4.8160, 7.9531 Å; angles 72.38, 72.38, 60.00 degrees
Fractional coordinates of all 7 atoms:
Ru 0.7487 0.7487 0.7540
Tm 0.6237 0.6237 0.1289
Tm 0.8740 0.8740 0.3779
Tm 0.1260 0.1260 0.6221
Tm 0.3763 0.3763 0.8711
Ru 0.2513 0.2513 0.2460
Ru 0.0000 0.0000 0.0000

## Properties
N(E_F) ... 5.02 states/eV per cell
Formation enthalpy at 0 K ... -0.352 eV/atom
Raw total energy ... -6.8823 eV/atom